w) Entry from OQMD via LeMat-Bulk: crystalline LiSmCdS3 at its relaxed geometry (PBE).

Computed properties:
- Total magnetization: 0.0 μB/f.u.

Cell lengths 7.418, 4.007, 10.768 Å; angles 90.00, 103.94, 90.00 degrees
Space group P2_1/m (No. 11)
Inequivalent atoms, fractional coordinates:
1 Li 0.166 0.250 0.103 x2
2 Sm 0.330 0.750 0.852 x2
3 Cd 0.037 0.250 0.619 x2
4 S 0.058 0.250 0.858 x2
5 S 0.239 0.750 0.580 x2
6 S 0.406 0.750 0.120 x2

***

x) Entry from OQMD via LeMat-Bulk: crystalline LiSmCdS3 at its relaxed geometry (PBE).

Computed properties:
- Total magnetization: 0.0 μB/f.u.

Cell lengths 11.113, 3.963, 11.532 Å; angles 90.00, 90.00, 90.00 degrees
Space group Pnma (No. 62)
Inequivalent atoms, fractional coordinates:
1 Li 0.124 0.250 0.075 x4
2 Sm 0.123 0.250 0.754 x4
3 Cd 0.131 0.250 0.410 x4
4 S 0.122 0.750 0.580 x4
5 S 0.124 0.750 0.922 x4
6 S 0.127 0.750 0.246 x4

***

y) Entry from OQMD via LeMat-Bulk: crystalline LiSmCdS3 at its relaxed geometry (PBE).

Computed properties:
- Total magnetization: 0.0 μB/f.u.

Cell lengths 4.004, 12.528, 11.008 Å; angles 90.00, 90.00, 90.00 degrees
Space group Cmcm (No. 63)
Inequivalent atoms, fractional coordinates:
1 Li 0.000 0.250 0.250 x4
2 Sm 0.000 0.000 0.000 x4
3 Cd 0.000 0.473 0.750 x4
4 S 0.000 0.100 0.750 x4
5 S 0.000 0.357 0.568 x8

***

Stability summary - winner: x); margin: 40 meV per atom.

***

w) Entry from OQMD via LeMat-Bulk: crystalline LiTmCdS3 at its relaxed geometry (PBE).

Computed properties:
- Total magnetization: 0.0 μB/f.u.

Cell lengths 12.317, 3.913, 11.402 Å; angles 90.00, 90.00, 90.00 degrees
Space group Pnma (No. 62)
Inequivalent atoms, fractional coordinates:
1 Li 0.233 0.250 0.040 x4
2 Tm 0.004 0.750 0.147 x4
3 Cd 0.031 0.250 0.403 x4
4 S 0.109 0.250 0.618 x4
5 S 0.122 0.750 0.948 x4
6 S 0.137 0.250 0.223 x4

***

x) Entry from OQMD via LeMat-Bulk: crystalline LiTmCdS3 at its relaxed geometry (PBE).

Computed properties:
- Total magnetization: 0.0 μB/f.u.

Cell lengths 3.903, 12.529, 10.741 Å; angles 90.00, 90.00, 90.00 degrees
Space group Cmcm (No. 63)
Inequivalent atoms, fractional coordinates:
1 Li 0.000 0.243 0.250 x4
2 Tm 0.000 0.500 0.000 x4
3 Cd 0.000 0.032 0.750 x4
4 S 0.000 0.140 0.559 x8
5 S 0.000 0.401 0.750 x4

***

Stability summary - winner: w); margin: 67 meV per atom.